A relaxed HgPdPb crystal, computed with PBE.

The structure in extended XYZ format:
```
3
Lattice="4.8139 0.0000 0.0000 -2.4070 4.1690 0.0000 0.0000 0.0000 3.4263" Properties=species:S:1:pos:R:3 pbc="T T T"
Hg 0.0000 0.0000 0.0000
Pd 0.0000 2.7793 0.0076
Pb 2.4070 1.3897 1.7118
```

Results
Magnetic moment: 0.000 μB/f.u.
Energy of formation from the pure elements: -0.01 eV/atom
Mass density: 12.4 g/cm³
Final energy: -3.0824 eV/atom
DOS(E_F): 1.12 states/eV per cell
Space group: No. 156